No. 1
CsLi2AgI4 | GGA-PBE | relaxed

Unit cell a=7.6976 b=7.7001 c=7.7001 alpha=59.86 beta=60.01 gamma=60.01
Closest atoms and distances in Å follow each position.
Fractional positions:
I1 0.4680 0.1290 0.5311  1 Ag 2.87, 2 Li 2.90-2.91
I2 0.5320 0.4689 0.8710  1 Ag 2.87, 2 Li 2.90-2.91
I3 0.8719 0.5311 0.1290  1 Ag 2.87, 2 Li 2.90-2.91
I4 0.1281 0.8710 0.4689  1 Ag 2.87, 2 Li 2.90-2.91
Cs1 0.0000 0.0000 0.0000  4 I 3.74
Li1 0.7499 0.7501 0.7501  4 I 2.90-2.91
Li2 0.2501 0.2499 0.2499  4 I 2.90-2.91
Ag1 0.5000 0.5000 0.5000  4 I 2.87

Output
crystal system	orthorhombic
D(E_F)	0.0000	states/eV per atom

---

No. 2
Cs2LiAgI6 | GGA-PBE | relaxed

Unit cell a=8.3122 b=8.3122 c=8.3287 alpha=60.07 beta=60.07 gamma=90.00
Closest atoms and distances in Å follow each position.
Fractional positions:
I1 0.2406 0.2406 0.5188  1 Ag 2.84, 1 Li 3.06
I2 0.2521 0.7479 0.0000  1 Li 2.91, 1 Ag 2.96
I3 0.7479 0.2521 0.0000  1 Li 2.91, 1 Ag 2.96
I4 0.2521 0.2521 0.0000  1 Li 2.91, 1 Ag 2.96
I5 0.7479 0.7479 0.0000  1 Li 2.91, 1 Ag 2.96
I6 0.7594 0.7594 0.4812  1 Ag 2.84, 1 Li 3.06
Cs1 0.2500 0.7500 0.5000  12 I 4.16
Cs2 0.7500 0.2500 0.5000  12 I 4.16
Li1 0.5000 0.5000 0.0000  6 I 2.91-3.06
Ag1 0.0000 0.0000 0.0000  6 I 2.84-2.96

Output
crystal system	tetragonal
D(E_F)	0.8338	states/eV per atom

---

No. 3
Cs3LiAg2I6 | GGA-PBE | relaxed

Unit cell a=8.8316 b=8.8316 c=9.9044 alpha=90.00 beta=90.00 gamma=120.00
Closest atoms and distances in Å follow each position.
Fractional positions:
Li1 0.0000 0.0000 0.5000  6 I 3.06
Cs1 0.0000 0.0000 0.0000  6 I 3.84
Cs2 0.6667 0.3333 0.3521  1 Ag 3.66
Cs3 0.3333 0.6667 0.6479  1 Ag 3.66
I1 0.1550 0.3100 0.3044  1 Ag 2.74, 1 Li 3.06
I2 0.1550 0.8450 0.3044  1 Ag 2.74, 1 Li 3.06
I3 0.8450 0.1550 0.6956  1 Ag 2.74, 1 Li 3.06
I4 0.3100 0.1550 0.6956  1 Ag 2.74, 1 Li 3.06
I5 0.6900 0.8450 0.3044  1 Ag 2.74, 1 Li 3.06
I6 0.8450 0.6900 0.6956  1 Ag 2.74, 1 Li 3.06
Ag1 0.3333 0.6667 0.2787  3 I 2.74
Ag2 0.6667 0.3333 0.7213  3 I 2.74

Output
crystal system	trigonal
D(E_F)	0.0000	states/eV per atom

---

No. 4
Cs2MgAgI6 | GGA-PBE | relaxed

Unit cell a=8.7723 b=8.3879 c=11.5981 alpha=90.00 beta=87.21 gamma=90.00
Closest atoms and distances in Å follow each position.
Fractional positions:
Mg1 0.5000 0.0000 0.0000  4 I 2.77-3.03
Mg2 0.0000 0.5000 0.5000  4 I 2.77-3.03
Cs1 0.5024 0.4926 0.2451  8 I 3.90-4.37
Cs2 0.4976 0.5074 0.7549  8 I 3.90-4.37
Cs3 0.0024 0.0074 0.7451  8 I 3.90-4.37
Cs4 0.9976 0.9926 0.2549  8 I 3.90-4.37
I1 0.9471 0.5126 0.2437  1 Ag 2.84, 1 Mg 3.03
I2 0.2821 0.7617 0.0235  1 Mg 2.77
I3 0.2283 0.2494 0.0230  1 Ag 2.92, 1 Mg 3.17
I4 0.0529 0.4874 0.7563  1 Ag 2.84, 1 Mg 3.03
I5 0.7821 0.7383 0.5235  1 Mg 2.77
I6 0.5529 0.0126 0.2563  1 Ag 2.84, 1 Mg 3.03
I7 0.7717 0.7506 0.9770  1 Ag 2.92, 1 Mg 3.17
I8 0.7283 0.2506 0.5230  1 Ag 2.92, 1 Mg 3.17
I9 0.4471 0.9874 0.7437  1 Ag 2.84, 1 Mg 3.03
I10 0.2717 0.7494 0.4770  1 Ag 2.92, 1 Mg 3.17
I11 0.2179 0.2617 0.4765  1 Mg 2.77
I12 0.7179 0.2383 0.9765  1 Mg 2.77
Ag1 0.5000 0.0000 0.5000  4 I 2.84-2.92
Ag2 0.0000 0.5000 0.0000  4 I 2.84-2.92

Output
crystal system	monoclinic
ΔE to the lowest computed polymorph	3	meV/atom
D(E_F)	0.6781	states/eV per atom

---

No. 5
Cs3MgAg2I6 | GGA-PBE | relaxed

Unit cell a=8.9013 b=8.9013 c=9.5693 alpha=90.00 beta=90.00 gamma=120.00
Closest atoms and distances in Å follow each position.
Fractional positions:
I1 0.6839 0.8419 0.3108  1 Ag 2.83, 1 Mg 3.04
I2 0.8419 0.6839 0.6892  1 Ag 2.83, 1 Mg 3.04
I3 0.8419 0.1581 0.6892  1 Ag 2.83, 1 Mg 3.04
I4 0.1581 0.8419 0.3108  1 Ag 2.83, 1 Mg 3.04
I5 0.3161 0.1581 0.6892  1 Ag 2.83, 1 Mg 3.04
I6 0.1581 0.3161 0.3108  1 Ag 2.83, 1 Mg 3.04
Cs1 0.3333 0.6667 0.6316  1 Ag 3.91, 3 I 4.09
Cs2 0.6667 0.3333 0.3684  1 Ag 3.91, 3 I 4.09
Cs3 0.0000 0.0000 0.0000  6 I 3.84
Ag1 0.3333 0.6667 0.2233  3 I 2.83
Ag2 0.6667 0.3333 0.7767  3 I 2.83
Mg1 0.0000 0.0000 0.5000  6 I 3.04

Output
crystal system	trigonal
D(E_F)	0.2142	states/eV per atom

---

No. 6
Cs2MgAgI6 | GGA-PBE | relaxed

Unit cell a=8.3028 b=8.3028 c=8.5596 alpha=60.99 beta=60.99 gamma=90.00
Closest atoms and distances in Å follow each position.
Fractional positions:
Mg1 0.5000 0.5000 0.0000  6 I 2.81-3.03
I1 0.2419 0.7581 0.0000  1 Ag 2.84, 1 Mg 3.03
I2 0.2748 0.2748 0.4505  1 Mg 2.81
I3 0.2419 0.2419 0.0000  1 Ag 2.84, 1 Mg 3.03
I4 0.7581 0.2419 0.0000  1 Ag 2.84, 1 Mg 3.03
I5 0.7581 0.7581 0.0000  1 Ag 2.84, 1 Mg 3.03
I6 0.7252 0.7252 0.5495  1 Mg 2.81
Cs1 0.7500 0.2500 0.5000  12 I 4.16-4.28
Cs2 0.2500 0.7500 0.5000  12 I 4.16-4.28
Ag1 0.0000 0.0000 0.0000  4 I 2.84

Output
crystal system	tetragonal
ΔE to the lowest computed polymorph	0	meV/atom
D(E_F)	0.9124	states/eV per atom

---

No. 7
Cs2MgAgI5 | GGA-PBE | relaxed

Unit cell a=4.6903 b=11.7148 c=15.3712 alpha=90.00 beta=90.00 gamma=101.55
Closest atoms and distances in Å follow each position.
Fractional positions:
I1 0.5038 0.0076 0.7824  1 Ag 2.77
I2 0.3334 0.6669 0.0074  1 Mg 2.85
I3 0.6666 0.3331 0.5074  1 Mg 2.85
I4 0.4962 0.9924 0.2824  1 Ag 2.77
I5 0.7120 0.4240 0.1481  2 Mg 3.05
I6 0.7016 0.4032 0.8854  1 Ag 3.05, 2 Mg 3.14
I7 0.2880 0.5760 0.6481  2 Mg 3.05
I8 0.2984 0.5968 0.3854  1 Ag 3.05, 2 Mg 3.14
I9 0.9168 0.8337 0.5359  2 Ag 2.86, 1 Mg 2.92
I10 0.0832 0.1663 0.0359  2 Ag 2.86, 1 Mg 2.92
Mg1 0.7902 0.5805 0.5208  6 I 2.85-3.14
Mg2 0.2098 0.4195 0.0208  6 I 2.85-3.14
Ag1 0.5722 0.1444 0.9305  4 I 2.77-3.05
Ag2 0.4278 0.8556 0.4305  4 I 2.77-3.05
Cs1 0.8730 0.7460 0.8119  7 I 3.84-4.09
Cs2 0.1270 0.2540 0.3119  7 I 3.84-4.09
Cs3 0.8764 0.7527 0.2016  7 I 3.82-4.08
Cs4 0.1236 0.2473 0.7016  7 I 3.82-4.08

Output
crystal system	orthorhombic
D(E_F)	0.0000	states/eV per atom

---

No. 8
Cs2MgAgI | GGA-PBE | relaxed

Unit cell a=7.4525 b=5.9303 c=7.4525 alpha=90.00 beta=90.00 gamma=90.00
Closest atoms and distances in Å follow each position.
Fractional positions:
I1 0.0000 0.5000 0.0000  2 Mg 2.97
Ag1 0.5000 0.5000 0.5000  8 Cs 4.76, 4 I 5.27
Mg1 0.0000 0.0000 0.0000  2 I 2.97
Cs1 0.5000 0.0000 0.0000  2 Mg 3.73
Cs2 0.0000 0.0000 0.5000  2 Mg 3.73

Output
crystal system	tetragonal
D(E_F)	0.0539	states/eV per atom

---

No. 9
Cs3Mg2AgI8 | GGA-PBE | relaxed

Unit cell a=8.5071 b=8.5071 c=10.8056 alpha=90.00 beta=90.00 gamma=120.00
Closest atoms and distances in Å follow each position.
Fractional positions:
I1 0.3333 0.6667 0.9699  1 Mg 2.67
I2 0.8383 0.6766 0.6800  1 Mg 2.76, 1 Ag 3.08
I3 0.8383 0.1617 0.6800  1 Mg 2.76, 1 Ag 3.08
I4 0.1617 0.8383 0.3200  1 Mg 2.76, 1 Ag 3.08
I5 0.3234 0.1617 0.6800  1 Mg 2.76, 1 Ag 3.08
I6 0.1617 0.3234 0.3200  1 Mg 2.76, 1 Ag 3.08
I7 0.6667 0.3333 0.0301  1 Mg 2.67
I8 0.6766 0.8383 0.3200  1 Mg 2.76, 1 Ag 3.08
Cs1 0.0000 0.0000 0.0000  6 I 4.20
Cs2 0.6667 0.3333 0.3786  4 I 3.77-4.12
Cs3 0.3333 0.6667 0.6214  4 I 3.77-4.12
Mg1 0.3333 0.6667 0.2172  4 I 2.67-2.76
Mg2 0.6667 0.3333 0.7828  4 I 2.67-2.76
Ag1 0.0000 0.0000 0.5000  6 I 3.08

Output
crystal system	trigonal
D(E_F)	0.0000	states/eV per atom

---

No. 10
CsMnAg2I6 | GGA-PBE | relaxed

Unit cell a=8.6461 b=10.7575 c=10.7575 alpha=84.37 beta=72.81 gamma=72.81
Closest atoms and distances in Å follow each position.
Fractional positions:
Cs1 0.7500 0.1756 0.8244  8 I 4.00-4.07, 2 Mn 4.33
Cs2 0.2500 0.8244 0.1756  8 I 4.00-4.07, 2 Mn 4.33
I1 0.4789 0.4447 0.2278  2 Ag 2.73
I2 0.4677 0.1838 0.5873  1 Mn 2.59
I3 0.0323 0.4127 0.8162  1 Mn 2.59
I4 0.0211 0.7722 0.5553  2 Ag 2.73
I5 0.2846 0.1863 0.0452  1 Mn 2.60
I6 0.2154 0.9548 0.8137  1 Mn 2.60
I7 0.7154 0.8137 0.9548  1 Mn 2.60
I8 0.5323 0.8162 0.4127  1 Mn 2.59
I9 0.9677 0.5873 0.1838  1 Mn 2.59
I10 0.7846 0.0452 0.1863  1 Mn 2.60
I11 0.5211 0.5553 0.7722  2 Ag 2.73
I12 0.9789 0.2278 0.4447  2 Ag 2.73
Ag1 0.8053 0.6369 0.7004  3 I 2.73-3.05
Ag2 0.1947 0.3631 0.2996  3 I 2.73-3.05
Ag3 0.6947 0.2996 0.3631  3 I 2.73-3.05
Ag4 0.3053 0.7004 0.6369  3 I 2.73-3.05
Mn1 0.7500 0.8130 0.1870  4 I 2.59-2.60
Mn2 0.2500 0.1870 0.8130  4 I 2.59-2.60

Output
crystal system	monoclinic
D(E_F)	0.1561	states/eV per atom

---

No. 11
CsMn2AgI6 | GGA-PBE | relaxed

Unit cell a=10.9872 b=10.9872 c=8.2955 alpha=104.79 beta=104.79 gamma=90.03
Closest atoms and distances in Å follow each position.
Fractional positions:
Mn1 0.3200 0.1422 0.8240  4 I 2.64-2.80
Mn2 0.8578 0.6800 0.6760  4 I 2.64-2.80
Mn3 0.1422 0.3200 0.3240  4 I 2.64-2.80
Mn4 0.6800 0.8578 0.1760  4 I 2.64-2.80
I1 0.8743 0.8196 0.4474  2 Mn 2.76-2.80
I2 0.4024 0.9161 0.7045  1 Mn 2.68, 1 Ag 2.89
I3 0.5976 0.0839 0.2955  1 Mn 2.68, 1 Ag 2.89
I4 0.4886 0.6864 0.0816  1 Mn 2.64, 1 Ag 2.89
I5 0.1257 0.1804 0.5526  2 Mn 2.76-2.80
I6 0.8196 0.8743 0.9474  2 Mn 2.76-2.80
I7 0.6864 0.4886 0.5816  1 Mn 2.64, 1 Ag 2.89
I8 0.9161 0.4024 0.2045  1 Mn 2.68, 1 Ag 2.89
I9 0.3136 0.5114 0.4184  1 Mn 2.64, 1 Ag 2.89
I10 0.0839 0.5976 0.7955  1 Mn 2.68, 1 Ag 2.89
I11 0.1804 0.1257 0.0526  2 Mn 2.76-2.80
I12 0.5114 0.3136 0.9184  1 Mn 2.64, 1 Ag 2.89
Cs1 0.8190 0.1810 0.7500  8 I 3.81-4.26
Cs2 0.1810 0.8190 0.2500  8 I 3.81-4.26
Ag1 0.6807 0.3193 0.2500  4 I 2.89
Ag2 0.3193 0.6807 0.7500  4 I 2.89

Output
crystal system	monoclinic

---

No. 12
Cs3Mn2AgI8 | GGA-PBE | relaxed

Unit cell a=8.4521 b=8.4521 c=10.7610 alpha=90.00 beta=90.00 gamma=120.00
Closest atoms and distances in Å follow each position.
Fractional positions:
I1 0.8371 0.6741 0.6802  1 Mn 2.71
I2 0.6667 0.3333 0.0224  1 Mn 2.62
I3 0.1629 0.8371 0.3198  1 Mn 2.71
I4 0.1629 0.3259 0.3198  1 Mn 2.71
I5 0.3259 0.1629 0.6802  1 Mn 2.71
I6 0.8371 0.1629 0.6802  1 Mn 2.71
I7 0.6741 0.8371 0.3198  1 Mn 2.71
I8 0.3333 0.6667 0.9776  1 Mn 2.62
Ag1 0.0000 0.0000 0.5000  6 I 3.07
Mn1 0.3333 0.6667 0.2215  4 I 2.62-2.71
Mn2 0.6667 0.3333 0.7785  4 I 2.62-2.71
Cs1 0.0000 0.0000 0.0000  6 I 4.19
Cs2 0.6667 0.3333 0.3746  4 I 3.79-4.13
Cs3 0.3333 0.6667 0.6254  4 I 3.79-4.13

Output
crystal system	trigonal
D(E_F)	0.0000	states/eV per atom

---

No. 13
Cs3Mn2AgI9 | GGA-PBE | relaxed

Unit cell a=8.2602 b=8.2602 c=10.1526 alpha=90.00 beta=90.00 gamma=120.00
Closest atoms and distances in Å follow each position.
Fractional positions:
I1 0.3414 0.1707 0.6753  1 Mn 2.80, 1 Ag 3.02
I2 0.0000 0.5000 0.0000  2 Mn 2.95
I3 0.5000 0.0000 0.0000  2 Mn 2.95
I4 0.5000 0.5000 0.0000  2 Mn 2.95
I5 0.6586 0.8293 0.3247  1 Mn 2.80, 1 Ag 3.02
I6 0.8293 0.6586 0.6753  1 Mn 2.80, 1 Ag 3.02
I7 0.1707 0.3414 0.3247  1 Mn 2.80, 1 Ag 3.02
I8 0.1707 0.8293 0.3247  1 Mn 2.80, 1 Ag 3.02
I9 0.8293 0.1707 0.6753  1 Mn 2.80, 1 Ag 3.02
Mn1 0.3333 0.6667 0.1707  6 I 2.80-2.95
Mn2 0.6667 0.3333 0.8293  6 I 2.80-2.95
Cs1 0.0000 0.0000 0.0000  12 I 4.10-4.13
Cs2 0.6667 0.3333 0.3366  12 I 4.13-4.17
Cs3 0.3333 0.6667 0.6634  12 I 4.13-4.17
Ag1 0.0000 0.0000 0.5000  6 I 3.02

Output
crystal system	trigonal
D(E_F)	0.1314	states/eV per atom

---

No. 14
CsMn2AgI8 | GGA-PBE | relaxed

Unit cell a=7.3775 b=7.3775 c=11.4461 alpha=71.20 beta=71.20 gamma=60.00
Closest atoms and distances in Å follow each position.
Fractional positions:
Cs1 0.5000 0.5000 0.5000  12 I 4.26-4.29
I1 0.3819 0.7269 0.8313  1 Mn 2.61
I2 0.0599 0.3819 0.8313  1 Mn 2.61
I3 0.1723 0.1723 0.4831  1 Mn 2.59
I4 0.7269 0.0599 0.8313  1 Mn 2.61
I5 0.8277 0.8277 0.5169  1 Mn 2.59
I6 0.6181 0.2731 0.1687  1 Mn 2.61
I7 0.2731 0.9401 0.1687  1 Mn 2.61
I8 0.9401 0.6181 0.1687  1 Mn 2.61
Mn1 0.7463 0.7463 0.7610  4 I 2.59-2.61
Mn2 0.2537 0.2537 0.2390  4 I 2.59-2.61
Ag1 0.0000 0.0000 0.0000  6 I 3.01

Output
crystal system	trigonal
D(E_F)	0.6951	states/eV per atom

---

No. 15
CsAg2MoI8 | GGA-PBE | relaxed

Unit cell a=7.5109 b=6.5796 c=10.4860 alpha=68.29 beta=88.47 gamma=95.69
Closest atoms and distances in Å follow each position.
Fractional positions:
I1 0.5009 0.2646 0.4775  1 Ag 2.88
I2 0.9158 0.3369 0.7566  1 Mo 2.83, 1 Ag 2.87
I3 0.0842 0.6631 0.2434  1 Mo 2.83, 1 Ag 2.87
I4 0.3285 0.2395 0.0164  1 Mo 2.84, 2 Ag 2.94-2.95
I5 0.6715 0.7605 0.9836  1 Mo 2.84, 2 Ag 2.94-2.95
I6 0.4991 0.7354 0.5225  1 Ag 2.88
I7 0.8176 0.1704 0.1538  1 Mo 2.69
I8 0.1824 0.8296 0.8462  1 Mo 2.69
Cs1 0.0000 0.0000 0.5000  8 I 3.72-4.17
Mo1 0.0000 0.0000 0.0000  6 I 2.69-2.84
Ag1 0.3998 0.4783 0.2010  4 I 2.87-2.95
Ag2 0.6002 0.5217 0.7990  4 I 2.87-2.95

Output
crystal system	triclinic
D(E_F)	0.4775	states/eV per atom

---

No. 16
CsAgMoI6 | GGA-PBE | relaxed

Unit cell a=7.6206 b=7.6206 c=8.6195 alpha=90.00 beta=89.99 gamma=59.99
Closest atoms and distances in Å follow each position.
Fractional positions:
I1 0.3547 0.0246 0.6860  1 Mo 2.78, 1 Ag 3.03
I2 0.3547 0.6206 0.3140  1 Mo 2.78, 1 Ag 3.03
I3 0.6206 0.3547 0.6860  1 Mo 2.78, 1 Ag 3.03
I4 0.6207 0.0245 0.3140  1 Mo 2.78, 1 Ag 3.03
I5 0.0246 0.3547 0.3140  1 Mo 2.78, 1 Ag 3.03
I6 0.0245 0.6207 0.6860  1 Mo 2.78, 1 Ag 3.03
Ag1 0.6666 0.6667 0.5000  6 I 3.03
Mo1 0.3333 0.3334 0.5000  6 I 2.78
Cs1 0.0000 0.0000 0.0000  6 I 3.90

Output
crystal system	trigonal
D(E_F)	0.9641	states/eV per atom

---

No. 17
CsAgIN2 | GGA-PBE | relaxed

Unit cell a=4.5332 b=4.5332 c=7.9222 alpha=90.00 beta=90.00 gamma=90.00
Closest atoms and distances in Å follow each position.
Fractional positions:
I1 0.0000 0.0000 0.5000  4 Ag 3.21
N1 0.0000 0.5000 0.0000  2 Cs 2.27
N2 0.5000 0.0000 0.0000  2 Cs 2.27
Ag1 0.5000 0.5000 0.5000  4 I 3.21
Cs1 0.0000 0.0000 0.0000  4 N 2.27

Output
crystal system	tetragonal
ΔE to the lowest computed polymorph	729	meV/atom
D(E_F)	0.3964	states/eV per atom

---

No. 18
CsAgIN2 | GGA-PBE | relaxed

Unit cell a=4.9161 b=4.9161 c=6.0187 alpha=90.00 beta=90.00 gamma=90.00
Closest atoms and distances in Å follow each position.
Fractional positions:
Ag1 0.0000 0.0000 0.0000  4 N 2.46
N1 0.5000 0.0000 0.0000  2 Ag 2.46
N2 0.0000 0.5000 0.0000  2 Ag 2.46
I1 0.0000 0.0000 0.5000  2 Ag 3.01
Cs1 0.5000 0.5000 0.5000  4 I 3.48, 8 N 3.89

Output
crystal system	tetragonal
ΔE to the lowest computed polymorph	0	meV/atom
D(E_F)	0.1911	states/eV per atom

---

No. 19
CsNaAgI3 | GGA-PBE | relaxed

Unit cell a=4.7614 b=10.3105 c=11.0587 alpha=107.01 beta=90.00 gamma=90.00
Closest atoms and distances in Å follow each position.
Fractional positions:
I1 0.7500 0.2157 0.5354  3 Ag 2.90-2.94
I2 0.2500 0.1143 0.8554  1 Ag 2.85
I3 0.2500 0.7843 0.4646  3 Ag 2.90-2.94
I4 0.7500 0.8857 0.1446  1 Ag 2.85
I5 0.7500 0.4612 0.1688  3 Na 3.17-3.20
I6 0.2500 0.5388 0.8312  3 Na 3.17-3.20
Ag1 0.7500 0.9259 0.4108  4 I 2.85-2.94, 2 Ag 3.18
Ag2 0.2500 0.0741 0.5892  4 I 2.85-2.94, 2 Ag 3.18
Na1 0.2500 0.6530 0.1302  6 I 3.17-3.55
Na2 0.7500 0.3470 0.8698  6 I 3.17-3.55
Cs1 0.2500 0.2017 0.2316  7 I 3.79-4.09
Cs2 0.7500 0.7983 0.7684  7 I 3.79-4.09

Output
crystal system	monoclinic
D(E_F)	0.0000	states/eV per atom

---

No. 20
CsNaAg2I4 | GGA-PBE | relaxed

Unit cell a=8.0137 b=7.8074 c=7.8074 alpha=71.99 beta=59.12 gamma=59.12
Closest atoms and distances in Å follow each position.
Fractional positions:
I1 0.5646 0.4949 0.8610  1 Ag 2.67
I2 0.9205 0.5051 0.1390  1 Ag 2.67
I3 0.4354 0.1390 0.5051  1 Ag 2.67
I4 0.0795 0.8610 0.4949  1 Ag 2.67
Ag1 0.1541 0.3459 0.3459  2 I 2.67
Ag2 0.8459 0.6541 0.6541  2 I 2.67
Cs1 0.0000 0.0000 0.0000  8 I 3.97-4.06
Na1 0.5000 0.5000 0.5000  4 I 3.10

Output
crystal system	orthorhombic
D(E_F)	0.0000	states/eV per atom

---

Magnetization per entry: 0.0 0.0 0.0 0.0 0.0 0.0 0.0 0.0 0.0 8.0 20.0 10.0 9.0 8.0 2.2 1.9 2.2 4.5 0.0 0.0 μB per cell
Energy per entry: -2.72 -2.40 -2.61 -2.46 -2.47 -2.47 -2.63 -1.58 -2.62 -3.00 -3.75 -3.47 -3.33 -3.36 -2.84 -3.09 -2.39 -3.12 -2.63 -2.56 eV/atom
Raw formation energy per entry: -1007 -824 -987 -918 -871 -921 -1082 -38 -1123 -498 -613 -888 -819 -485 -353 -443 1989 1260 -1016 -801 meV per atom